The following is a DFT calculation (GGA+U) of an optimized crystal structure of MnCd3F.

a b c (Å): 5.4325 5.4325 5.4325
angles (deg): 90.00 90.00 90.00
Space group Pm-3m (No. 221)
Unique sites:
1 Mn 0.0000 0.0000 0.0000 x1
2 Cd 0.0000 0.0000 0.5000 x3
3 F 0.5000 0.5000 0.5000 x1

Results
- magnetic moment (μB per formula unit) = 4.95
- calculated total energy (eV per atom) = -2.28